Entry from Alexandria via LeMat-Bulk: a relaxed TbPrCl crystal (GGA-PBE).

**SG**: R-3m
**Spin magnetization**: 0.97 μB per cell

The structure in CIF format:
```
data_TbPrCl
_chemical_formula_sum 'Tb2 Pr2 Cl2'
_cell_length_a 3.794
_cell_length_b 3.794
_cell_length_c 16.407
_cell_angle_alpha 83.36
_cell_angle_beta 83.36
_cell_angle_gamma 60.00
_space_group_name_H-M_alt 'P 1'
_space_group_IT_number 1
_space_group_name_Hall 'P 1'
loop_
_atom_site_label
_atom_site_fract_x
_atom_site_fract_y
_atom_site_fract_z
Pr1 0.589 0.589 0.232
Pr2 0.411 0.411 0.768
Cl1 0.294 0.294 0.117
Cl2 0.706 0.706 0.883
Tb1 0.862 0.862 0.413
Tb2 0.138 0.138 0.587
```


Entry from Alexandria via LeMat-Bulk: a relaxed LiPm2Cr crystal (GGA-PBE).

**SG**: Fm-3m
**Spin magnetization**: 3.04 μB per cell
**Calculated formation energy**: 210 meV per atom

The structure in CIF format:
```
data_LiPm2Cr
_chemical_formula_sum 'Li1 Pm2 Cr1'
_cell_length_a 5.212
_cell_length_b 5.212
_cell_length_c 5.212
_cell_angle_alpha 60.00
_cell_angle_beta 60.00
_cell_angle_gamma 60.00
_space_group_name_H-M_alt 'P 1'
_space_group_IT_number 1
_space_group_name_Hall 'P 1'
loop_
_atom_site_label
_atom_site_fract_x
_atom_site_fract_y
_atom_site_fract_z
Cr1 0.000 0.000 0.000
Li1 0.500 0.500 0.500
Pm1 0.250 0.250 0.250
Pm2 0.750 0.750 0.750
```


Entry from Alexandria via LeMat-Bulk: a relaxed BaCoCl crystal (GGA-PBE).

**SG**: F-43m
**Spin magnetization**: 2.00 μB per cell

The structure in CIF format:
```
data_BaCoCl
_chemical_formula_sum 'Ba1 Co1 Cl1'
_cell_length_a 5.030
_cell_length_b 5.030
_cell_length_c 5.030
_cell_angle_alpha 60.00
_cell_angle_beta 60.00
_cell_angle_gamma 60.00
_space_group_name_H-M_alt 'P 1'
_space_group_IT_number 1
_space_group_name_Hall 'P 1'
loop_
_atom_site_label
_atom_site_fract_x
_atom_site_fract_y
_atom_site_fract_z
Co1 0.500 0.500 0.500
Ba1 0.750 0.750 0.750
Cl1 0.250 0.250 0.250
```


Entry from Alexandria via LeMat-Bulk: a relaxed BeNb2I crystal (GGA-PBE).

**SG**: I-42d
**Spin magnetization**: 0.00 μB per cell

The structure in CIF format:
```
data_BeNb2I
_chemical_formula_sum 'Be2 Nb4 I2'
_cell_length_a 5.374
_cell_length_b 5.374
_cell_length_c 7.475
_cell_angle_alpha 68.93
_cell_angle_beta 68.93
_cell_angle_gamma 90.00
_space_group_name_H-M_alt 'P 1'
_space_group_IT_number 1
_space_group_name_Hall 'P 1'
loop_
_atom_site_label
_atom_site_fract_x
_atom_site_fract_y
_atom_site_fract_z
I1 0.000 0.000 0.000
I2 0.750 0.250 0.500
Be1 0.500 0.500 0.000
Be2 0.250 0.750 0.500
Nb1 0.524 0.125 0.250
Nb2 0.226 0.625 0.250
Nb3 0.375 0.476 0.750
Nb4 0.875 0.774 0.750
```


Entry from Alexandria via LeMat-Bulk: a relaxed Mg2Pt2Au crystal (GGA-PBE).

**SG**: I4/mmm
**Spin magnetization**: 0.00 μB per cell
**Calculated formation energy**: -225 meV per atom

The structure in CIF format:
```
data_Mg2Pt2Au
_chemical_formula_sum 'Mg2 Pt2 Au1'
_cell_length_a 4.026
_cell_length_b 4.026
_cell_length_c 6.519
_cell_angle_alpha 72.01
_cell_angle_beta 72.01
_cell_angle_gamma 90.00
_space_group_name_H-M_alt 'P 1'
_space_group_IT_number 1
_space_group_name_Hall 'P 1'
loop_
_atom_site_label
_atom_site_fract_x
_atom_site_fract_y
_atom_site_fract_z
Mg1 0.750 0.250 0.500
Mg2 0.250 0.750 0.500
Au1 0.000 0.000 0.000
Pt1 0.390 0.390 0.219
Pt2 0.610 0.610 0.781
```


Entry from Alexandria via LeMat-Bulk: a relaxed LiNb2HRu crystal (GGA-PBE).

**SG**: P4/mmm
**Spin magnetization**: 0.00 μB per cell

The structure in CIF format:
```
data_LiNb2HRu
_chemical_formula_sum 'Li1 Nb2 H1 Ru1'
_cell_length_a 4.207
_cell_length_b 4.207
_cell_length_c 3.630
_cell_angle_alpha 90.00
_cell_angle_beta 90.00
_cell_angle_gamma 90.00
_space_group_name_H-M_alt 'P 1'
_space_group_IT_number 1
_space_group_name_Hall 'P 1'
loop_
_atom_site_label
_atom_site_fract_x
_atom_site_fract_y
_atom_site_fract_z
Ru1 0.500 0.500 0.500
Nb1 0.000 0.500 0.000
Nb2 0.500 0.000 0.000
H1 0.000 0.000 0.000
Li1 0.000 0.000 0.500
```


Entry from Alexandria via LeMat-Bulk: a relaxed KP2Os crystal (GGA-PBE).

**SG**: Cm
**Spin magnetization**: 0.00 μB per cell
**Calculated formation energy**: 167 meV per atom

The structure in CIF format:
```
data_KP2Os
_chemical_formula_sum 'K1 P2 Os1'
_cell_length_a 5.399
_cell_length_b 5.399
_cell_length_c 6.092
_cell_angle_alpha 74.22
_cell_angle_beta 74.22
_cell_angle_gamma 33.13
_space_group_name_H-M_alt 'P 1'
_space_group_IT_number 1
_space_group_name_Hall 'P 1'
loop_
_atom_site_label
_atom_site_fract_x
_atom_site_fract_y
_atom_site_fract_z
K1 0.512 0.512 0.501
Os1 0.310 0.310 0.080
P1 0.986 0.986 0.994
P2 0.692 0.692 0.925
```


Entry from Alexandria via LeMat-Bulk: a relaxed Ca2Al5Pd3 crystal (GGA-PBE).

**SG**: Ibam
**Spin magnetization**: 0.00 μB per cell
**Calculated formation energy**: -682 meV per atom

The structure in CIF format:
```
data_Ca2Al5Pd3
_chemical_formula_sum 'Ca4 Al10 Pd6'
_cell_length_a 5.794
_cell_length_b 8.734
_cell_length_c 8.734
_cell_angle_alpha 71.80
_cell_angle_beta 70.63
_cell_angle_gamma 70.63
_space_group_name_H-M_alt 'P 1'
_space_group_IT_number 1
_space_group_name_Hall 'P 1'
loop_
_atom_site_label
_atom_site_fract_x
_atom_site_fract_y
_atom_site_fract_z
Ca1 0.148 0.576 0.129
Ca2 0.648 0.129 0.576
Ca3 0.852 0.424 0.871
Ca4 0.352 0.871 0.424
Al1 0.412 0.261 0.915
Al2 0.912 0.915 0.261
Al3 0.588 0.739 0.085
Al4 0.088 0.085 0.739
Al5 0.457 0.793 0.793
Al6 0.543 0.207 0.207
Al7 0.750 0.500 0.500
Al8 0.250 0.500 0.500
Al9 0.043 0.207 0.207
Al10 0.957 0.793 0.793
Pd1 0.355 0.553 0.736
Pd2 0.855 0.736 0.553
Pd3 0.645 0.447 0.264
Pd4 0.145 0.264 0.447
Pd5 0.250 0.000 0.000
Pd6 0.750 0.000 0.000
```


Entry from Alexandria via LeMat-Bulk: a relaxed Na2AlSb crystal (GGA-PBE).

**SG**: I-42d
**Spin magnetization**: 0.00 μB per cell

The structure in CIF format:
```
data_Na2AlSb
_chemical_formula_sum 'Na4 Al2 Sb2'
_cell_length_a 4.304
_cell_length_b 4.304
_cell_length_c 11.608
_cell_angle_alpha 79.32
_cell_angle_beta 79.32
_cell_angle_gamma 90.00
_space_group_name_H-M_alt 'P 1'
_space_group_IT_number 1
_space_group_name_Hall 'P 1'
loop_
_atom_site_label
_atom_site_fract_x
_atom_site_fract_y
_atom_site_fract_z
Sb1 0.000 0.000 0.000
Sb2 0.750 0.250 0.500
Al1 0.500 0.500 0.000
Al2 0.250 0.750 0.500
Na1 0.625 0.125 0.250
Na2 0.125 0.625 0.250
Na3 0.375 0.375 0.750
Na4 0.875 0.875 0.750
```


Entry from Alexandria via LeMat-Bulk: a relaxed Nd6Ni2PtI3 crystal (GGA-PBE).

**SG**: C2/m
**Spin magnetization**: 0.00 μB per cell

The structure in CIF format:
```
data_Nd6Ni2PtI3
_chemical_formula_sum 'Nd6 Ni2 Pt1 I3'
_cell_length_a 7.262
_cell_length_b 7.262
_cell_length_c 8.440
_cell_angle_alpha 98.24
_cell_angle_beta 98.24
_cell_angle_gamma 120.02
_space_group_name_H-M_alt 'P 1'
_space_group_IT_number 1
_space_group_name_Hall 'P 1'
loop_
_atom_site_label
_atom_site_fract_x
_atom_site_fract_y
_atom_site_fract_z
Nd1 0.939 0.596 0.817
Nd2 0.718 0.718 0.183
Nd3 0.061 0.404 0.183
Nd4 0.596 0.939 0.817
Nd5 0.282 0.282 0.817
Nd6 0.404 0.061 0.183
Ni1 0.333 0.667 0.000
Ni2 0.667 0.333 0.000
Pt1 0.000 0.000 0.000
I1 0.167 0.833 0.500
I2 0.833 0.167 0.500
I3 0.500 0.500 0.500
```


Entry from Alexandria via LeMat-Bulk: a relaxed CsSbF3 crystal (GGA-PBE).

**SG**: Pm-3m
**Spin magnetization**: 1.00 μB per cell

The structure in CIF format:
```
data_CsSbF3
_chemical_formula_sum 'Cs1 Sb1 F3'
_cell_length_a 5.077
_cell_length_b 5.077
_cell_length_c 5.077
_cell_angle_alpha 90.00
_cell_angle_beta 90.00
_cell_angle_gamma 90.00
_space_group_name_H-M_alt 'P 1'
_space_group_IT_number 1
_space_group_name_Hall 'P 1'
loop_
_atom_site_label
_atom_site_fract_x
_atom_site_fract_y
_atom_site_fract_z
Cs1 0.000 0.000 0.000
Sb1 0.500 0.500 0.500
F1 0.000 0.500 0.000
F2 0.000 0.000 0.500
F3 0.500 0.000 0.000
```


Entry from Alexandria via LeMat-Bulk: a relaxed Pr2Sn3Hg2 crystal (GGA-PBE).

**SG**: C2/m
**Spin magnetization**: 0.00 μB per cell
**Calculated formation energy**: -472 meV per atom

The structure in CIF format:
```
data_Pr2Sn3Hg2
_chemical_formula_sum 'Pr2 Sn3 Hg2'
_cell_length_a 4.863
_cell_length_b 6.828
_cell_length_c 6.396
_cell_angle_alpha 100.77
_cell_angle_beta 112.34
_cell_angle_gamma 90.00
_space_group_name_H-M_alt 'P 1'
_space_group_IT_number 1
_space_group_name_Hall 'P 1'
loop_
_atom_site_label
_atom_site_fract_x
_atom_site_fract_y
_atom_site_fract_z
Pr1 0.605 0.793 0.209
Pr2 0.395 0.207 0.791
Sn1 0.000 0.500 0.000
Sn2 0.290 0.653 0.580
Sn3 0.710 0.347 0.420
Hg1 0.886 0.879 0.772
Hg2 0.114 0.121 0.228
```


Entry from Alexandria via LeMat-Bulk: a relaxed La5Nd2Sm crystal (GGA-PBE).

**SG**: Cmcm
**Spin magnetization**: 0.00 μB per cell
**Calculated formation energy**: 102 meV per atom

The structure in CIF format:
```
data_La5Nd2Sm
_chemical_formula_sum 'La10 Nd4 Sm2'
_cell_length_a 5.748
_cell_length_b 6.755
_cell_length_c 16.755
_cell_angle_alpha 90.00
_cell_angle_beta 90.00
_cell_angle_gamma 115.18
_space_group_name_H-M_alt 'P 1'
_space_group_IT_number 1
_space_group_name_Hall 'P 1'
loop_
_atom_site_label
_atom_site_fract_x
_atom_site_fract_y
_atom_site_fract_z
La1 0.924 0.849 0.906
La2 0.924 0.849 0.594
La3 0.384 0.768 0.448
La4 0.384 0.768 0.052
La5 0.534 0.068 0.250
La6 0.466 0.932 0.750
La7 0.616 0.232 0.552
La8 0.616 0.232 0.948
La9 0.076 0.151 0.094
La10 0.076 0.151 0.406
Nd1 0.775 0.549 0.367
Nd2 0.775 0.549 0.133
Nd3 0.225 0.451 0.633
Nd4 0.225 0.451 0.867
Sm1 0.748 0.497 0.750
Sm2 0.252 0.503 0.250
```


no.,total energy (eV/f.u.)
1,-13.96
2,-20.20
3,-10.58
4,-20.99
5,-19.67
6,-34.83
7,-22.48
8,-45.12
9,-10.18
10,-60.63
11,-14.64
12,-25.47
13,-38.07